A | NaPtSeBr2 | GGA-PBE | optimized geometry

a b c (Å): 5.114 5.114 5.356
angles (deg): 90.00 90.00 90.00
Fractional coordinates of all 5 atoms:
1 Na 0.000 0.000 0.000
2 Pt 0.500 0.500 0.500
3 Se 0.000 0.000 0.500
4 Br 0.000 0.500 0.000
5 Br 0.500 0.000 0.000

V (Å³/atom): 28.01
Space-group type: P4/mmm, No. 123
M_tot (μB/atom): 0.0522

=====

B | NaPtSeBr2 | GGA-PBE | optimized geometry

a b c (Å): 5.416 5.416 4.806
angles (deg): 90.00 90.00 90.00
Fractional coordinates of all 5 atoms:
1 Na 0.000 0.000 0.000
2 Pt 0.500 0.500 0.500
3 Se 0.500 0.500 0.000
4 Br 0.000 0.500 0.500
5 Br 0.500 0.000 0.500

V (Å³/atom): 28.20
Space-group type: P4/mmm, No. 123
M_tot (μB/atom): 0.0000

=====

Most stable: B

=====

A | Na3PuBr6 | GGA-PBE | optimized geometry

a b c (Å): 8.810 8.810 8.810
angles (deg): 91.07 91.07 91.07
Fractional coordinates of all 20 atoms:
1 Na 0.068 0.745 0.578
2 Na 0.255 0.422 0.932
3 Na 0.422 0.932 0.255
4 Na 0.578 0.068 0.745
5 Na 0.745 0.578 0.068
6 Na 0.932 0.255 0.422
7 Pu 0.000 0.000 0.000
8 Pu 0.500 0.500 0.500
9 Br 0.043 0.689 0.909
10 Br 0.091 0.957 0.311
11 Br 0.194 0.416 0.583
12 Br 0.311 0.091 0.957
13 Br 0.416 0.583 0.194
14 Br 0.417 0.806 0.584
15 Br 0.583 0.194 0.416
16 Br 0.584 0.417 0.806
17 Br 0.689 0.909 0.043
18 Br 0.806 0.584 0.417
19 Br 0.909 0.043 0.689
20 Br 0.957 0.311 0.091

V (Å³/atom): 34.17
Space-group type: R-3, No. 148
M_tot (μB/atom): 0.0017

=====

B | Na3PuBr6 | GGA-PBE | optimized geometry

a b c (Å): 8.071 8.071 8.071
angles (deg): 55.02 55.02 55.02
Fractional coordinates of all 10 atoms:
1 Na 0.000 0.000 0.000
2 Na 0.196 0.196 0.196
3 Na 0.493 0.493 0.493
4 Pu 0.688 0.688 0.688
5 Br 0.074 0.423 0.794
6 Br 0.298 0.898 0.598
7 Br 0.423 0.794 0.074
8 Br 0.598 0.298 0.898
9 Br 0.794 0.074 0.423
10 Br 0.898 0.598 0.298

V (Å³/atom): 32.87
Space-group type: R3, No. 146
M_tot (μB/atom): 0.5000

=====

Most stable: B

=====

A | NaPuBr5 | GGA-PBE | optimized geometry

a b c (Å): 7.519 7.519 10.973
angles (deg): 110.87 110.87 69.24
Fractional coordinates of all 14 atoms:
1 Na 0.022 0.978 0.750
2 Na 0.978 0.022 0.250
3 Pu 0.500 0.500 0.000
4 Pu 0.500 0.500 0.500
5 Br 0.131 0.727 0.022
6 Br 0.178 0.359 0.364
7 Br 0.273 0.869 0.478
8 Br 0.359 0.178 0.864
9 Br 0.396 0.604 0.750
10 Br 0.604 0.396 0.250
11 Br 0.641 0.822 0.136
12 Br 0.727 0.131 0.522
13 Br 0.822 0.641 0.636
14 Br 0.869 0.273 0.978

V (Å³/atom): 37.35
Space-group type: C2/c, No. 15
M_tot (μB/atom): 0.5714

=====

B | NaPuBr5 | GGA-PBE | optimized geometry

a b c (Å): 7.472 7.472 11.016
angles (deg): 108.44 108.44 88.06
Fractional coordinates of all 14 atoms:
1 Na 0.070 0.930 0.750
2 Na 0.930 0.070 0.250
3 Pu 0.000 0.500 0.000
4 Pu 0.500 0.000 0.500
5 Br 0.192 0.612 0.861
6 Br 0.213 0.233 0.518
7 Br 0.233 0.213 0.018
8 Br 0.242 0.758 0.250
9 Br 0.388 0.808 0.639
10 Br 0.612 0.192 0.361
11 Br 0.758 0.242 0.750
12 Br 0.767 0.787 0.982
13 Br 0.787 0.767 0.482
14 Br 0.808 0.388 0.139

V (Å³/atom): 39.43
Space-group type: C2/c, No. 15
M_tot (μB/atom): 0.5714

=====

Most stable: B

=====

A | RbNa2Br2 | GGA-PBE | optimized geometry

a b c (Å): 5.603 5.603 11.963
angles (deg): 90.00 90.00 90.00
Fractional coordinates of all 10 atoms:
1 Rb 0.000 0.000 0.000
2 Rb 0.500 0.500 0.500
3 Na 0.000 0.000 0.337
4 Na 0.000 0.000 0.663
5 Na 0.500 0.500 0.163
6 Na 0.500 0.500 0.837
7 Br 0.000 0.500 0.250
8 Br 0.000 0.500 0.750
9 Br 0.500 0.000 0.250
10 Br 0.500 0.000 0.750

V (Å³/atom): 37.56
Space-group type: I4/mmm, No. 139
M_tot (μB/atom): 0.1545

=====

B | RbNa2Br2 | GGA-PBE | optimized geometry

a b c (Å): 9.050 9.050 4.393
angles (deg): 90.00 90.00 90.00
Fractional coordinates of all 10 atoms:
1 Rb 0.000 0.000 0.000
2 Rb 0.500 0.500 0.000
3 Na 0.138 0.362 0.500
4 Na 0.362 0.862 0.500
5 Na 0.638 0.138 0.500
6 Na 0.862 0.638 0.500
7 Br 0.154 0.654 0.000
8 Br 0.346 0.154 0.000
9 Br 0.654 0.846 0.000
10 Br 0.846 0.346 0.000

V (Å³/atom): 35.98
Space-group type: P4/mbm, No. 127
M_tot (μB/atom): 0.0000

=====

Most stable: A

=====

A | RbNa3Br | GGA-PBE | optimized geometry

a b c (Å): 6.138 6.138 6.138
angles (deg): 90.00 90.00 90.00
Fractional coordinates of all 5 atoms:
1 Rb 0.000 0.000 0.000
2 Na 0.000 0.500 0.500
3 Na 0.500 0.000 0.500
4 Na 0.500 0.500 0.000
5 Br 0.500 0.500 0.500

V (Å³/atom): 46.24
Space-group type: Pm-3m, No. 221
M_tot (μB/atom): 0.0000

=====

B | RbNa3Br | GGA-PBE | optimized geometry

a b c (Å): 6.939 6.939 6.939
angles (deg): 90.00 90.00 90.00
Fractional coordinates of all 5 atoms:
1 Rb 0.000 0.000 0.000
2 Na 0.000 0.000 0.500
3 Na 0.000 0.500 0.000
4 Na 0.500 0.000 0.000
5 Br 0.500 0.500 0.500

V (Å³/atom): 66.82
Space-group type: Pm-3m, No. 221
M_tot (μB/atom): 0.0000

=====

Most stable: A

=====

A | RbNaSeBr2 | GGA-PBE | optimized geometry

a b c (Å): 5.771 5.771 5.497
angles (deg): 90.00 90.00 90.00
Fractional coordinates of all 5 atoms:
1 Rb 0.000 0.000 0.000
2 Na 0.500 0.500 0.500
3 Se 0.500 0.500 0.000
4 Br 0.000 0.500 0.500
5 Br 0.500 0.000 0.500

V (Å³/atom): 36.62
Space-group type: P4/mmm, No. 123
M_tot (μB/atom): 0.4028

=====

B | RbNaSeBr2 | GGA-PBE | optimized geometry

a b c (Å): 6.471 6.471 6.254
angles (deg): 90.00 90.00 90.00
Fractional coordinates of all 5 atoms:
1 Rb 0.000 0.000 0.000
2 Na 0.500 0.500 0.500
3 Se 0.000 0.000 0.500
4 Br 0.000 0.500 0.000
5 Br 0.500 0.000 0.000

V (Å³/atom): 52.38
Space-group type: P4/mmm, No. 123
M_tot (μB/atom): 0.4114

=====

Most stable: A

=====

A | Rb2NaTcBr6 | GGA-PBE | optimized geometry

a b c (Å): 14.140 14.140 14.140
angles (deg): 31.35 31.35 31.35
Fractional coordinates of all 20 atoms:
1 Rb 0.129 0.129 0.129
2 Rb 0.301 0.301 0.301
3 Rb 0.699 0.699 0.699
4 Rb 0.871 0.871 0.871
5 Na 0.415 0.415 0.415
6 Na 0.585 0.585 0.585
7 Tc 0.000 0.000 0.000
8 Tc 0.500 0.500 0.500
9 Br 0.143 0.624 0.624
10 Br 0.195 0.195 0.722
11 Br 0.195 0.722 0.195
12 Br 0.278 0.805 0.805
13 Br 0.376 0.376 0.857
14 Br 0.376 0.857 0.376
15 Br 0.624 0.143 0.624
16 Br 0.624 0.624 0.143
17 Br 0.722 0.195 0.195
18 Br 0.805 0.278 0.805
19 Br 0.805 0.805 0.278
20 Br 0.857 0.376 0.376

V (Å³/atom): 33.96
Space-group type: R-3m, No. 166
M_tot (μB/atom): 0.2000

=====

B | Rb2NaTcBr6 | GGA-PBE | optimized geometry

a b c (Å): 7.745 7.745 7.745
angles (deg): 60.00 60.00 60.00
Fractional coordinates of all 10 atoms:
1 Rb 0.250 0.250 0.250
2 Rb 0.750 0.750 0.750
3 Na 0.000 0.000 0.000
4 Tc 0.500 0.500 0.500
5 Br 0.266 0.266 0.734
6 Br 0.266 0.734 0.266
7 Br 0.266 0.734 0.734
8 Br 0.734 0.266 0.266
9 Br 0.734 0.266 0.734
10 Br 0.734 0.734 0.266

V (Å³/atom): 32.86
Space-group type: Fm-3m, No. 225
M_tot (μB/atom): 0.2000

=====

Most stable: A

=====

A | RbNa2TeBr | GGA-PBE | optimized geometry

a b c (Å): 5.602 5.602 13.059
angles (deg): 90.00 90.00 90.00
Fractional coordinates of all 5 atoms:
1 Rb 0.000 0.000 0.000
2 Na 0.000 0.500 0.500
3 Na 0.500 0.000 0.500
4 Te 0.500 0.500 0.500
5 Br 0.500 0.500 0.000

V (Å³/atom): 81.97
Space-group type: P4/mmm, No. 123
M_tot (μB/atom): 0.0000

=====

B | RbNa2TeBr | GGA-PBE | optimized geometry

a b c (Å): 4.982 4.982 15.955
angles (deg): 90.00 90.00 90.00
Fractional coordinates of all 10 atoms:
1 Rb 0.000 0.000 0.000
2 Rb 0.500 0.500 0.500
3 Na 0.000 0.500 0.211
4 Na 0.000 0.500 0.711
5 Na 0.500 0.000 0.211
6 Na 0.500 0.000 0.711
7 Te 0.000 0.000 0.599
8 Te 0.500 0.500 0.099
9 Br 0.000 0.000 0.310
10 Br 0.500 0.500 0.810

V (Å³/atom): 39.60
Space-group type: I4mm, No. 107
M_tot (μB/atom): 0.0000

=====

Most stable: B

=====

A | Na3ReBr | GGA-PBE | optimized geometry

a b c (Å): 5.876 5.876 5.876
angles (deg): 90.00 90.00 90.00
Fractional coordinates of all 5 atoms:
1 Na 0.000 0.000 0.500
2 Na 0.000 0.500 0.000
3 Na 0.500 0.000 0.000
4 Re 0.000 0.000 0.000
5 Br 0.500 0.500 0.500

V (Å³/atom): 40.57
Space-group type: Pm-3m, No. 221
M_tot (μB/atom): 0.6642

=====

B | Na3ReBr | GGA-PBE | optimized geometry

a b c (Å): 5.463 5.463 5.463
angles (deg): 90.00 90.00 90.00
Fractional coordinates of all 5 atoms:
1 Na 0.000 0.000 0.500
2 Na 0.000 0.500 0.000
3 Na 0.500 0.000 0.000
4 Re 0.500 0.500 0.500
5 Br 0.000 0.000 0.000

V (Å³/atom): 32.60
Space-group type: Pm-3m, No. 221
M_tot (μB/atom): 0.7088

=====

Most stable: B

=====

A | NaRe2Br | GGA-PBE | optimized geometry

a b c (Å): 6.376 6.376 6.376
angles (deg): 90.00 90.00 90.00
Fractional coordinates of all 16 atoms:
1 Na 0.000 0.000 0.000
2 Na 0.000 0.500 0.500
3 Na 0.500 0.000 0.500
4 Na 0.500 0.500 0.000
5 Re 0.250 0.250 0.250
6 Re 0.250 0.250 0.750
7 Re 0.250 0.750 0.250
8 Re 0.250 0.750 0.750
9 Re 0.750 0.250 0.250
10 Re 0.750 0.250 0.750
11 Re 0.750 0.750 0.250
12 Re 0.750 0.750 0.750
13 Br 0.000 0.000 0.500
14 Br 0.000 0.500 0.000
15 Br 0.500 0.000 0.000
16 Br 0.500 0.500 0.500

V (Å³/atom): 16.20
Space-group type: Fm-3m, No. 225
M_tot (μB/atom): 0.0000

=====

B | NaRe2Br | GGA-PBE | optimized geometry

a b c (Å): 8.192 8.192 4.713
angles (deg): 90.00 90.00 90.00
Fractional coordinates of all 16 atoms:
1 Na 0.000 0.000 0.000
2 Na 0.000 0.500 0.250
3 Na 0.500 0.000 0.750
4 Na 0.500 0.500 0.500
5 Re 0.184 0.250 0.625
6 Re 0.250 0.684 0.875
7 Re 0.250 0.816 0.375
8 Re 0.316 0.250 0.125
9 Re 0.684 0.750 0.125
10 Re 0.750 0.184 0.375
11 Re 0.750 0.316 0.875
12 Re 0.816 0.750 0.625
13 Br 0.000 0.000 0.500
14 Br 0.000 0.500 0.750
15 Br 0.500 0.000 0.250
16 Br 0.500 0.500 0.000

V (Å³/atom): 19.77
Space-group type: I-42d, No. 122
M_tot (μB/atom): 0.0002

=====

Most stable: B

=====

A | NaReSe2Br | GGA-PBE | optimized geometry

a b c (Å): 4.818 4.818 5.661
angles (deg): 90.00 90.00 90.00
Fractional coordinates of all 5 atoms:
1 Na 0.000 0.000 0.000
2 Re 0.500 0.500 0.500
3 Se 0.000 0.500 0.500
4 Se 0.500 0.000 0.500
5 Br 0.500 0.500 0.000

V (Å³/atom): 26.28
Space-group type: P4/mmm, No. 123
M_tot (μB/atom): 0.0000

=====

B | NaReSe2Br | GGA-PBE | optimized geometry

a b c (Å): 5.239 5.239 5.037
angles (deg): 90.00 90.00 90.00
Fractional coordinates of all 5 atoms:
1 Na 0.000 0.000 0.000
2 Re 0.500 0.500 0.500
3 Se 0.000 0.500 0.000
4 Se 0.500 0.000 0.000
5 Br 0.000 0.000 0.500

V (Å³/atom): 27.65
Space-group type: P4/mmm, No. 123
M_tot (μB/atom): 0.5985

=====

Most stable: A

=====

A | NaRhBr2 | GGA-PBE | optimized geometry

a b c (Å): 7.012 7.012 7.012
angles (deg): 90.00 90.00 90.00
Fractional coordinates of all 16 atoms:
1 Na 0.000 0.000 0.000
2 Na 0.000 0.500 0.500
3 Na 0.500 0.000 0.500
4 Na 0.500 0.500 0.000
5 Rh 0.000 0.000 0.500
6 Rh 0.000 0.500 0.000
7 Rh 0.500 0.000 0.000
8 Rh 0.500 0.500 0.500
9 Br 0.250 0.250 0.250
10 Br 0.250 0.250 0.750
11 Br 0.250 0.750 0.250
12 Br 0.250 0.750 0.750
13 Br 0.750 0.250 0.250
14 Br 0.750 0.250 0.750
15 Br 0.750 0.750 0.250
16 Br 0.750 0.750 0.750

V (Å³/atom): 21.55
Space-group type: Fm-3m, No. 225
M_tot (μB/atom): 0.5000

=====

B | NaRhBr2 | GGA-PBE | optimized geometry

a b c (Å): 5.735 5.735 14.194
angles (deg): 90.00 90.00 90.00
Fractional coordinates of all 16 atoms:
1 Na 0.000 0.000 0.000
2 Na 0.000 0.500 0.250
3 Na 0.500 0.000 0.750
4 Na 0.500 0.500 0.500
5 Rh 0.000 0.000 0.500
6 Rh 0.000 0.500 0.750
7 Rh 0.500 0.000 0.250
8 Rh 0.500 0.500 0.000
9 Br 0.189 0.250 0.625
10 Br 0.250 0.689 0.875
11 Br 0.250 0.811 0.375
12 Br 0.311 0.250 0.125
13 Br 0.689 0.750 0.125
14 Br 0.750 0.189 0.375
15 Br 0.750 0.311 0.875
16 Br 0.811 0.750 0.625

V (Å³/atom): 29.18
Space-group type: I-42d, No. 122
M_tot (μB/atom): 0.0000

=====

Most stable: B